The following is a DFT calculation (GGA-PBE) of an optimized crystal structure of Y2Tm2Al3.

Summary:
**Space group**: C2/m

Cell lengths 11.777, 4.932, 6.645 Å; angles 90.00, 112.71, 90.00 degrees
Positions (direct):
1 Y 0.039 0.000 0.279
2 Y 0.461 0.500 0.721
3 Y 0.539 0.500 0.279
4 Y 0.961 0.000 0.721
5 Tm 0.186 0.500 0.803
6 Tm 0.314 0.000 0.197
7 Tm 0.686 0.000 0.803
8 Tm 0.814 0.500 0.197
9 Al 0.000 0.500 0.000
10 Al 0.218 0.500 0.341
11 Al 0.282 0.000 0.659
12 Al 0.500 0.000 0.000
13 Al 0.718 0.000 0.341
14 Al 0.782 0.500 0.659

---

The following is a DFT calculation (GGA-PBE) of an optimized crystal structure of HfZr2Sc2.

Summary:
**Calculated formation energy**: 2.3 eV/f.u.
**Space group**: I4/mmm

Cell lengths 4.087, 4.087, 14.229 Å; angles 90.00, 90.00, 90.00 degrees
Positions (direct):
1 Hf 0.000 0.000 0.000
2 Hf 0.500 0.500 0.500
3 Zr 0.000 0.500 0.250
4 Zr 0.000 0.500 0.750
5 Zr 0.500 0.000 0.250
6 Zr 0.500 0.000 0.750
7 Sc 0.000 0.000 0.406
8 Sc 0.000 0.000 0.594
9 Sc 0.500 0.500 0.094
10 Sc 0.500 0.500 0.906

---

Values of E, in order: -4.915; -7.475, all in eV/atom.